# 1
# PBE TaOs4, optimized geometry
# Size of the total moment (μB per atom): 0.145
# E_form (eV/atom): 2.764
# Offset from the most stable computed form (meV/atom): 2801.0
# Calculated total energy (eV/atom): -8.5906
# Crystal system: cubic
data_TaOs4
_chemical_formula_sum 'Ta1 Os4'
_space_group_name_H-M_alt 'P m -3 m'
_space_group_IT_number 221
_space_group_name_Hall '-P 4 2 3'
_cell_length_a 4.6504
_cell_length_b 4.6504
_cell_length_c 4.6504
_cell_angle_alpha 90.00
_cell_angle_beta 90.00
_cell_angle_gamma 90.00
loop_
_atom_site_label
_atom_site_type_symbol
_atom_site_fract_x
_atom_site_fract_y
_atom_site_fract_z
Ta1 Ta 0.0000 0.0000 0.0000
Os1 Os 0.0000 0.0000 0.5000
Os2 Os 0.5000 0.5000 0.5000

***

# 2
# PBE Ta2Os, optimized geometry
# Size of the total moment (μB per atom): 0.000
# E_form (eV/atom): 0.143
# Calculated total energy (eV/atom): -11.5018
# Crystal system: tetragonal
data_Ta2Os
_chemical_formula_sum 'Ta8 Os4'
_space_group_name_H-M_alt 'I 41/a m d'
_space_group_IT_number 141
_cell_length_a 2.9403
_cell_length_b 2.9403
_cell_length_c 24.5595
_cell_angle_alpha 90.00
_cell_angle_beta 90.00
_cell_angle_gamma 90.00
loop_
_space_group_symop_operation_xyz
'x,y,z'
'-x,-y,-z'
'-y+1/4,x+3/4,z+1/4'
'y+1/4,-x+3/4,-z+1/4'
'-x+1/2,-y,z+1/2'
'x+1/2,y,-z+1/2'
'y+1/4,-x+1/4,z+3/4'
'-y+1/4,x+1/4,-z+3/4'
'x,-y,-z'
'-x,y,z'
'-y+1/4,-x+1/4,-z+3/4'
'y+1/4,x+1/4,z+3/4'
'-x+1/2,y,-z+1/2'
'x+1/2,-y,z+1/2'
'y+1/4,x+3/4,-z+1/4'
'-y+1/4,-x+3/4,z+1/4'
'x+1/2,y+1/2,z+1/2'
'-x+1/2,-y+1/2,-z+1/2'
'-y+3/4,x+1/4,z+3/4'
'y+3/4,-x+1/4,-z+3/4'
'-x,-y+1/2,z'
'x,y+1/2,-z'
'y+3/4,-x+3/4,z+1/4'
'-y+3/4,x+3/4,-z+1/4'
'x+1/2,-y+1/2,-z+1/2'
'-x+1/2,y+1/2,z+1/2'
'-y+3/4,-x+3/4,-z+1/4'
'y+3/4,x+3/4,z+1/4'
'-x,y+1/2,-z'
'x,-y+1/2,z'
'y+3/4,x+1/4,-z+3/4'
'-y+3/4,-x+1/4,z+3/4'
loop_
_atom_site_label
_atom_site_type_symbol
_atom_site_fract_x
_atom_site_fract_y
_atom_site_fract_z
Ta1 Ta 0.0000 0.2500 0.3014
Os1 Os 0.0000 0.2500 0.8750

***

# 3
# PBE Ta3Os2, optimized geometry
# Size of the total moment (μB per atom): 0.000
# E_form (eV/atom): -0.330
# Offset from the most stable computed form (meV/atom): 0.0
# Calculated total energy (eV/atom): -11.9332
# Crystal system: orthorhombic
data_Ta3Os2
_chemical_formula_sum 'Ta36 Os24'
_space_group_name_H-M_alt 'C m m 2'
_space_group_IT_number 35
_space_group_name_Hall 'C 2 -2'
_cell_length_a 14.0118
_cell_length_b 14.0190
_cell_length_c 5.0832
_cell_angle_alpha 90.00
_cell_angle_beta 90.00
_cell_angle_gamma 90.00
loop_
_atom_site_label
_atom_site_type_symbol
_atom_site_fract_x
_atom_site_fract_y
_atom_site_fract_z
Ta1 Ta 0.0000 0.1026 0.0000
Ta2 Ta 0.0000 0.3188 0.2459
Ta3 Ta 0.1012 0.5000 0.4904
Ta4 Ta 0.1664 0.2041 0.9973
Ta5 Ta 0.1814 0.0000 0.2464
Ta6 Ta 0.1816 0.0000 0.7468
Ta7 Ta 0.2022 0.3324 0.4983
Os1 Os 0.0000 0.0000 0.4985
Os2 Os 0.0000 0.3188 0.7445
Os3 Os 0.0000 0.5000 0.9757
Os4 Os 0.0949 0.1642 0.4983
Os5 Os 0.1614 0.4040 0.9956

***

# 4
# PBE Ta5Os3, optimized geometry
# Size of the total moment (μB per atom): 0.000
# E_form (eV/atom): -0.261
# Offset from the most stable computed form (meV/atom): 48.5
# Calculated total energy (eV/atom): -11.8797
# Crystal system: tetragonal
data_Ta5Os3
_chemical_formula_sum 'Ta5 Os3'
_space_group_name_H-M_alt 'P 4/m m m'
_space_group_IT_number 123
_space_group_name_Hall '-P 4 2'
_cell_length_a 3.1366
_cell_length_b 3.1366
_cell_length_c 13.6188
_cell_angle_alpha 90.00
_cell_angle_beta 90.00
_cell_angle_gamma 90.00
loop_
_atom_site_label
_atom_site_type_symbol
_atom_site_fract_x
_atom_site_fract_y
_atom_site_fract_z
Ta1 Ta 0.0000 0.0000 0.0000
Ta2 Ta 0.0000 0.0000 0.2457
Ta3 Ta 0.5000 0.5000 0.3791
Os1 Os 0.0000 0.0000 0.5000
Os2 Os 0.5000 0.5000 0.1302

***

# 5
# PBE Ta4Os, optimized geometry
# Size of the total moment (μB per atom): 0.000
# E_form (eV/atom): 0.143
# Offset from the most stable computed form (meV/atom): 385.2
# Calculated total energy (eV/atom): -11.5855
# Crystal system: monoclinic
data_Ta4Os
_chemical_formula_sum 'Ta16 Os4'
_space_group_name_H-M_alt 'C 1 2/c 1'
_space_group_IT_number 15
_space_group_name_Hall '-C 2yc'
_cell_length_a 5.5365
_cell_length_b 16.7397
_cell_length_c 4.6148
_cell_angle_alpha 90.00
_cell_angle_beta 120.20
_cell_angle_gamma 90.00
loop_
_atom_site_label
_atom_site_type_symbol
_atom_site_fract_x
_atom_site_fract_y
_atom_site_fract_z
Ta1 Ta 0.1765 0.0730 0.1003
Ta2 Ta 0.2401 0.1994 0.7278
Os1 Os 0.0000 0.4413 0.2500

***

# 6
# PBE Ta3Os8, optimized geometry
# Size of the total moment (μB per atom): 0.000
# E_form (eV/atom): 0.216
# Calculated total energy (eV/atom): -11.1839
# Crystal system: triclinic
data_Ta3Os8
_chemical_formula_sum 'Ta3 Os8'
_space_group_name_H-M_alt 'P -1'
_space_group_IT_number 2
_space_group_name_Hall '-P 1'
_cell_length_a 4.7250
_cell_length_b 6.1707
_cell_length_c 6.3938
_cell_angle_alpha 85.45
_cell_angle_beta 76.70
_cell_angle_gamma 82.93
loop_
_atom_site_label
_atom_site_type_symbol
_atom_site_fract_x
_atom_site_fract_y
_atom_site_fract_z
Ta1 Ta 0.0000 0.0000 0.0000
Ta2 Ta 0.0000 0.5000 0.0000
Ta3 Ta 0.5000 0.0000 0.5000
Os1 Os 0.0199 0.1665 0.3589
Os2 Os 0.2339 0.4342 0.5818
Os3 Os 0.3114 0.7323 0.2522
Os4 Os 0.4695 0.6942 0.8302

***

# 7
# PBE Ta3Os4, optimized geometry
# Size of the total moment (μB per atom): 0.000
# E_form (eV/atom): 0.458
# Offset from the most stable computed form (meV/atom): 432.0
# Calculated total energy (eV/atom): -11.0387
# Crystal system: hexagonal
data_Ta3Os4
_chemical_formula_sum 'Ta3 Os4'
_space_group_name_H-M_alt 'P 6/m m m'
_space_group_IT_number 191
_space_group_name_Hall '-P 6 2'
_cell_length_a 5.1774
_cell_length_b 5.1774
_cell_length_c 4.9544
_cell_angle_alpha 90.00
_cell_angle_beta 90.00
_cell_angle_gamma 120.00
loop_
_atom_site_label
_atom_site_type_symbol
_atom_site_fract_x
_atom_site_fract_y
_atom_site_fract_z
Ta1 Ta 0.0000 0.5000 0.0000
Os1 Os 0.0000 0.0000 0.2604
Os2 Os 0.3333 0.6667 0.5000

***

# 8
# PBE Ta6Os7, optimized geometry
# Size of the total moment (μB per atom): 0.000
# E_form (eV/atom): -0.172
# Calculated total energy (eV/atom): -11.6892
# Crystal system: trigonal
data_Ta6Os7
_chemical_formula_sum 'Ta18 Os21'
_space_group_name_H-M_alt 'R -3 m'
_space_group_IT_number 166
_space_group_name_Hall '-R 3 2"'
_cell_length_a 5.1897
_cell_length_b 5.1897
_cell_length_c 27.4817
_cell_angle_alpha 90.00
_cell_angle_beta 90.00
_cell_angle_gamma 120.00
loop_
_atom_site_label
_atom_site_type_symbol
_atom_site_fract_x
_atom_site_fract_y
_atom_site_fract_z
Ta1 Ta 0.0000 0.0000 0.0487
Ta2 Ta 0.0000 0.0000 0.1528
Ta3 Ta 0.0000 0.0000 0.3342
Os1 Os 0.0000 0.0000 0.5000
Os2 Os 0.0035 0.5017 0.9105